# NaNd2Ni

A relaxed structure of NaNd2Ni (PBE, the Alexandria database).

The value obtained for the density is 4.6 Mg/m³. The density of states at the Fermi level is 8.71 states/eV/cell. For the total energy, the calculation gives -50.42 eV per cell. Its energy relative to the elements is -0.043 eV per atom.

It has space group R3m (No. 160, hexagonal axes), with a = 4.0828 Å, b = 4.0828 Å, c = 27.5948 Å, α = 90.00°, β = 90.00° and γ = 120.00°. The asymmetric unit holds Na at (0.0000, 0.0000, 0.0000), Nd at (0.0000, 0.0000, 0.5525), Nd at (0.0000, 0.0000, 0.7796) and Ni at (0.0000, 0.0000, 0.1659).